1.
CaTlIn4 | GGA-PBE | relaxed

Cell and atoms, written as POSCAR:
```
CaTlIn4
1.0
-0.689 4.699 -2.655
-0.461 -5.203 -3.462
-4.680 -1.721 3.794
In Ca Tl
4 1 1
direct
0.754 0.923 0.085
0.246 0.077 0.915
0.754 0.585 0.423
0.246 0.415 0.577
0.000 0.500 0.000
0.500 0.000 0.500
```

Calculated values
Total magnetization = 0.0 μB/f.u.
Energy relative to the lowest polymorph listed for this composition = 0.0 meV per atom
Density = 7.1 g/cm³
ΔE_f = -0.1930 eV per atom



2.
Ca2Tl8In | GGA-PBE | relaxed

Cell and atoms, written as POSCAR:
```
Ca2Tl8In
1.0
5.201 0.000 0.000
0.000 5.201 0.000
0.000 0.000 12.230
Tl Ca In
8 2 1
direct
0.000 0.500 0.855
0.500 0.500 0.321
0.000 0.500 0.500
0.500 0.000 0.145
0.500 0.000 0.855
0.500 0.500 0.679
0.000 0.500 0.145
0.500 0.000 0.500
0.000 0.000 0.320
0.000 0.000 0.680
0.000 0.000 0.000
```

Calculated values
Total magnetization = 0.0 μB/f.u.
Energy relative to the lowest polymorph listed for this composition = 0.0 meV per atom
Density = 9.2 g/cm³
ΔE_f = -0.1347 eV per atom



3.
CaTl4In | GGA-PBE | relaxed

Cell and atoms, written as POSCAR:
```
CaTl4In
1.0
0.000 4.541 4.541
4.541 0.000 4.541
4.541 4.541 0.000
Ca Tl In
1 4 1
direct
0.750 0.750 0.750
0.375 0.375 0.375
0.375 0.375 0.876
0.375 0.876 0.375
0.876 0.375 0.375
0.000 0.000 0.000
```

Calculated values
Total magnetization = 0.0 μB/f.u.
Energy relative to the lowest polymorph listed for this composition = 106.6 meV per atom
Density = 8.6 g/cm³
ΔE_f = -0.0338 eV per atom



4.
Ca7Tl2In2 | GGA-PBE | relaxed

Cell and atoms, written as POSCAR:
```
Ca7Tl2In2
1.0
7.022 -0.003 -1.125
0.003 8.331 0.004
-1.560 -0.002 6.938
Ca Tl In
7 2 2
direct
0.000 0.711 0.500
0.000 0.000 0.000
0.500 0.289 0.000
0.500 0.257 0.500
0.500 0.711 0.000
0.500 0.743 0.500
0.000 0.289 0.500
0.710 0.000 0.290
0.290 0.000 0.710
0.822 0.500 0.822
0.178 0.500 0.178
```

Calculated values
Total magnetization = 0.0 μB/f.u.
Density = 3.9 g/cm³
ΔE_f = -0.1984 eV per atom



5.
CaTlIn | GGA-PBE | relaxed

Cell and atoms, written as POSCAR:
```
CaTlIn
1.0
-2.166 5.855 -1.371
-3.164 3.501 -4.312
-3.728 0.179 1.119
Tl Ca In
1 1 1
direct
0.677 0.677 0.323
0.000 0.000 0.000
0.324 0.324 0.676
```

Calculated values
Total magnetization = 0.0 μB/f.u.
Density = 6.8 g/cm³
ΔE_f = -0.2666 eV per atom



6.
Ca2Tl3In4 | GGA-PBE | relaxed

Cell and atoms, written as POSCAR:
```
Ca2Tl3In4
1.0
-3.874 -2.659 0.567
0.001 -3.061 5.403
-5.542 5.177 6.168
Ca Tl In
2 3 4
direct
0.342 0.089 0.226
0.658 0.911 0.774
0.660 0.242 0.437
0.340 0.758 0.563
0.000 0.000 0.000
0.675 0.544 0.105
0.325 0.456 0.895
0.009 0.650 0.332
0.991 0.350 0.668
```

Calculated values
Total magnetization = 0.0 μB/f.u.
Density = 7.6 g/cm³
ΔE_f = -0.2293 eV per atom